Entry 1:
# PBE DySc2InHg4, relaxed
# formation energy	-2.7	eV/f.u.
# D(E_F)	5.0	states/eV per cell
# calculated volume	23.31	Å³/atom
# total magnetization	0.00	μB per formula unit
# calculated total energy	-2.989	eV per atom
data_DySc2InHg4
_chemical_formula_sum 'Dy1 Sc2 In1 Hg4'
_space_group_name_H-M_alt 'P 1'
_space_group_IT_number 1
_cell_length_a 8.998
_cell_length_b 8.998
_cell_length_c 8.998
_cell_angle_alpha 32.45
_cell_angle_beta 32.45
_cell_angle_gamma 32.45
loop_
_space_group_symop_operation_xyz
'x,y,z'
loop_
_atom_site_label
_atom_site_fract_x
_atom_site_fract_y
_atom_site_fract_z
_atom_site_occupancy
Dy1 0.000 0.000 0.000 1
Sc1 0.244 0.244 0.244 1
Sc2 0.756 0.756 0.756 1
In1 0.500 0.500 0.500 1
Hg1 0.121 0.121 0.121 1
Hg2 0.371 0.371 0.371 1
Hg3 0.629 0.629 0.629 1
Hg4 0.879 0.879 0.879 1

Entry 2:
# PBE Pm12Si2Ge5, relaxed
# D(E_F)	20.4	states/eV per cell
# calculated volume	30.12	Å³/atom
# total magnetization	0.00	μB per formula unit
# calculated total energy	-5.273	eV per atom
# formation energy without anion corrections	-9.2	eV/f.u.
data_Pm12Si2Ge5
_chemical_formula_sum 'Pm12 Si2 Ge5'
_space_group_name_H-M_alt 'P 1'
_space_group_IT_number 1
_cell_length_a 9.389
_cell_length_b 9.389
_cell_length_c 9.512
_cell_angle_alpha 103.87
_cell_angle_beta 103.87
_cell_angle_gamma 44.97
loop_
_space_group_symop_operation_xyz
'x,y,z'
loop_
_atom_site_label
_atom_site_fract_x
_atom_site_fract_y
_atom_site_fract_z
_atom_site_occupancy
Pm1 0.004 0.004 0.283 1
Pm2 0.070 0.590 0.905 1
Pm3 0.106 0.590 0.432 1
Pm4 0.410 0.894 0.568 1
Pm5 0.410 0.930 0.095 1
Pm6 0.482 0.482 0.181 1
Pm7 0.518 0.518 0.819 1
Pm8 0.590 0.070 0.905 1
Pm9 0.590 0.106 0.432 1
Pm10 0.894 0.410 0.568 1
Pm11 0.930 0.410 0.095 1
Pm12 0.996 0.996 0.717 1
Si1 0.173 0.827 0.000 1
Si2 0.827 0.173 0.000 1
Ge1 0.181 0.181 0.828 1
Ge2 0.197 0.197 0.360 1
Ge3 0.500 0.500 0.500 1
Ge4 0.803 0.803 0.640 1
Ge5 0.819 0.819 0.172 1

Entry 3:
# PBE SnBi2BH, relaxed
# D(E_F)	2.9	states/eV per cell
# calculated volume	21.69	Å³/atom
# total magnetization	0.00	μB per formula unit
# calculated total energy	-3.300	eV per atom
data_SnBi2BH
_chemical_formula_sum 'Sn1 Bi2 B1 H1'
_space_group_name_H-M_alt 'P 1'
_space_group_IT_number 1
_cell_length_a 4.851
_cell_length_b 4.851
_cell_length_c 4.609
_cell_angle_alpha 90.00
_cell_angle_beta 90.00
_cell_angle_gamma 90.00
loop_
_space_group_symop_operation_xyz
'x,y,z'
loop_
_atom_site_label
_atom_site_fract_x
_atom_site_fract_y
_atom_site_fract_z
_atom_site_occupancy
Sn1 0.000 0.000 0.000 1
Bi1 0.000 0.500 0.500 1
Bi2 0.500 0.000 0.500 1
B1 0.500 0.500 0.000 1
H1 0.000 0.000 0.500 1

Entry 4:
# PBE NdErPt, relaxed
# formation energy	-2.3	eV/f.u.
# D(E_F)	11.7	states/eV per cell
# calculated volume	29.20	Å³/atom
# energy above the lowest structure with this stoichiometry	103	meV/atom
# total magnetization	0.00	μB per formula unit
# calculated total energy	-5.880	eV per atom
data_NdErPt
_chemical_formula_sum 'Nd4 Er4 Pt4'
_space_group_name_H-M_alt 'P 1'
_space_group_IT_number 1
_cell_length_a 7.002
_cell_length_b 5.874
_cell_length_c 10.631
_cell_angle_alpha 90.00
_cell_angle_beta 126.73
_cell_angle_gamma 90.00
loop_
_space_group_symop_operation_xyz
'x,y,z'
loop_
_atom_site_label
_atom_site_fract_x
_atom_site_fract_y
_atom_site_fract_z
_atom_site_occupancy
Nd1 0.189 0.143 0.383 1
Nd2 0.189 0.357 0.883 1
Nd3 0.811 0.643 0.117 1
Nd4 0.811 0.857 0.617 1
Er1 0.333 0.623 0.634 1
Er2 0.333 0.877 0.134 1
Er3 0.667 0.123 0.866 1
Er4 0.667 0.377 0.366 1
Pt1 0.327 0.658 0.365 1
Pt2 0.327 0.842 0.865 1
Pt3 0.673 0.158 0.135 1
Pt4 0.673 0.342 0.635 1

Entry 5:
# PBE Ta2TiTl2Te6, relaxed
# D(E_F)	4.7	states/eV per cell
# calculated volume	31.01	Å³/atom
# total magnetization	0.00	μB per formula unit
# calculated total energy	-5.375	eV per atom
# formation energy without anion corrections	-3.9	eV/f.u.
data_Ta2TiTl2Te6
_chemical_formula_sum 'Ta2 Ti1 Tl2 Te6'
_space_group_name_H-M_alt 'P 1'
_space_group_IT_number 1
_cell_length_a 6.742
_cell_length_b 6.742
_cell_length_c 8.886
_cell_angle_alpha 95.62
_cell_angle_beta 95.62
_cell_angle_gamma 120.52
loop_
_space_group_symop_operation_xyz
'x,y,z'
loop_
_atom_site_label
_atom_site_fract_x
_atom_site_fract_y
_atom_site_fract_z
_atom_site_occupancy
Ta1 0.124 0.876 0.000 1
Ta2 0.876 0.124 0.000 1
Ti1 0.500 0.500 0.000 1
Tl1 0.307 0.693 0.500 1
Tl2 0.693 0.307 0.500 1
Te1 0.114 0.468 0.824 1
Te2 0.250 0.250 0.229 1
Te3 0.468 0.114 0.824 1
Te4 0.532 0.886 0.176 1
Te5 0.750 0.750 0.771 1
Te6 0.886 0.532 0.176 1

Entry 6:
# PBE KTe2SI, relaxed
# D(E_F)	6.1	states/eV per cell
# calculated volume	58.87	Å³/atom
# energy above the lowest structure with this stoichiometry	1041	meV/atom
# total magnetization	6.01	μB per formula unit
# calculated total energy	-1.704	eV per atom
# formation energy without anion corrections	4.5	eV/f.u.
data_KTe2SI
_chemical_formula_sum 'K1 Te2 S1 I1'
_space_group_name_H-M_alt 'P 1'
_space_group_IT_number 1
_cell_length_a 6.726
_cell_length_b 6.726
_cell_length_c 6.506
_cell_angle_alpha 90.00
_cell_angle_beta 90.00
_cell_angle_gamma 90.00
loop_
_space_group_symop_operation_xyz
'x,y,z'
loop_
_atom_site_label
_atom_site_fract_x
_atom_site_fract_y
_atom_site_fract_z
_atom_site_occupancy
K1 0.000 0.000 0.000 1
Te1 0.000 0.500 0.000 1
Te2 0.500 0.000 0.000 1
S1 0.500 0.500 0.500 1
I1 0.000 0.000 0.500 1

Entry 7:
# PBE Er6Sb2Ru, relaxed
# D(E_F)	21.4	states/eV per cell
# calculated volume	33.64	Å³/atom
# total magnetization	0.01	μB per formula unit
# calculated total energy	-5.306	eV per atom
# formation energy without anion corrections	-2.9	eV/f.u.
data_Er6Sb2Ru
_chemical_formula_sum 'Er12 Sb4 Ru2'
_space_group_name_H-M_alt 'P 1'
_space_group_IT_number 1
_cell_length_a 6.744
_cell_length_b 6.744
_cell_length_c 13.313
_cell_angle_alpha 90.00
_cell_angle_beta 90.00
_cell_angle_gamma 90.00
loop_
_space_group_symop_operation_xyz
'x,y,z'
loop_
_atom_site_label
_atom_site_fract_x
_atom_site_fract_y
_atom_site_fract_z
_atom_site_occupancy
Er1 0.187 0.187 0.149 1
Er2 0.187 0.187 0.851 1
Er3 0.221 0.221 0.500 1
Er4 0.279 0.721 0.000 1
Er5 0.313 0.687 0.351 1
Er6 0.313 0.687 0.649 1
Er7 0.687 0.313 0.351 1
Er8 0.687 0.313 0.649 1
Er9 0.721 0.279 0.000 1
Er10 0.779 0.779 0.500 1
Er11 0.813 0.813 0.149 1
Er12 0.813 0.813 0.851 1
Sb1 0.000 0.000 0.334 1
Sb2 0.000 0.000 0.666 1
Sb3 0.500 0.500 0.166 1
Sb4 0.500 0.500 0.834 1
Ru1 0.000 0.000 0.000 1
Ru2 0.500 0.500 0.500 1

Entry 8:
# PBE RbGaSn, relaxed
# formation energy	0.0	eV/f.u.
# D(E_F)	1.8	states/eV per cell
# calculated volume	37.06	Å³/atom
# total magnetization	0.00	μB per formula unit
# calculated total energy	-2.668	eV per atom
data_RbGaSn
_chemical_formula_sum 'Rb2 Ga2 Sn2'
_space_group_name_H-M_alt 'P 1'
_space_group_IT_number 1
_cell_length_a 7.569
_cell_length_b 7.569
_cell_length_c 4.402
_cell_angle_alpha 90.00
_cell_angle_beta 90.00
_cell_angle_gamma 118.14
loop_
_space_group_symop_operation_xyz
'x,y,z'
loop_
_atom_site_label
_atom_site_fract_x
_atom_site_fract_y
_atom_site_fract_z
_atom_site_occupancy
Rb1 0.250 0.250 0.000 1
Rb2 0.750 0.750 0.000 1
Ga1 0.000 0.500 0.500 1
Ga2 0.500 0.000 0.500 1
Sn1 0.250 0.750 0.946 1
Sn2 0.750 0.250 0.054 1

Entry 9:
# PBE PrDy4As5, relaxed
# formation energy	-15.2	eV/f.u.
# D(E_F)	1.6	states/eV per cell
# calculated volume	25.42	Å³/atom
# total magnetization	0.00	μB per formula unit
# calculated total energy	-6.164	eV per atom
data_PrDy4As5
_chemical_formula_sum 'Pr1 Dy4 As5'
_space_group_name_H-M_alt 'P 1'
_space_group_IT_number 1
_cell_length_a 7.198
_cell_length_b 7.198
_cell_length_c 10.188
_cell_angle_alpha 118.13
_cell_angle_beta 118.13
_cell_angle_gamma 33.60
loop_
_space_group_symop_operation_xyz
'x,y,z'
loop_
_atom_site_label
_atom_site_fract_x
_atom_site_fract_y
_atom_site_fract_z
_atom_site_occupancy
Pr1 0.000 0.000 0.000 1
Dy1 0.201 0.201 0.797 1
Dy2 0.402 0.402 0.601 1
Dy3 0.598 0.598 0.399 1
Dy4 0.799 0.799 0.203 1
As1 0.000 0.000 0.500 1
As2 0.203 0.203 0.306 1
As3 0.396 0.396 0.103 1
As4 0.604 0.604 0.897 1
As5 0.797 0.797 0.694 1

Entry 10:
# PBE LaTlRe, relaxed
# formation energy	-0.2	eV/f.u.
# D(E_F)	5.0	states/eV per cell
# calculated volume	29.23	Å³/atom
# energy above the lowest structure with this stoichiometry	0	meV/atom
# total magnetization	0.00	μB per formula unit
# calculated total energy	-6.632	eV per atom
data_LaTlRe
_chemical_formula_sum 'La2 Tl2 Re2'
_space_group_name_H-M_alt 'P 1'
_space_group_IT_number 1
_cell_length_a 11.708
_cell_length_b 11.708
_cell_length_c 11.708
_cell_angle_alpha 20.69
_cell_angle_beta 20.69
_cell_angle_gamma 20.69
loop_
_space_group_symop_operation_xyz
'x,y,z'
loop_
_atom_site_label
_atom_site_fract_x
_atom_site_fract_y
_atom_site_fract_z
_atom_site_occupancy
La1 0.000 0.000 0.000 1
La2 0.127 0.127 0.127 1
Tl1 0.260 0.260 0.260 1
Tl2 0.534 0.534 0.534 1
Re1 0.391 0.391 0.391 1
Re2 0.737 0.737 0.737 1

Entry 11:
# PBE SmTiHg2, relaxed
# formation energy	-0.7	eV/f.u.
# D(E_F)	3.7	states/eV per cell
# calculated volume	23.44	Å³/atom
# energy above the lowest structure with this stoichiometry	10	meV/atom
# total magnetization	1.74	μB per formula unit
# calculated total energy	-3.469	eV per atom
data_SmTiHg2
_chemical_formula_sum 'Sm1 Ti1 Hg2'
_space_group_name_H-M_alt 'P 1'
_space_group_IT_number 1
_cell_length_a 5.100
_cell_length_b 5.100
_cell_length_c 5.100
_cell_angle_alpha 60.00
_cell_angle_beta 60.00
_cell_angle_gamma 60.00
loop_
_space_group_symop_operation_xyz
'x,y,z'
loop_
_atom_site_label
_atom_site_fract_x
_atom_site_fract_y
_atom_site_fract_z
_atom_site_occupancy
Sm1 0.000 0.000 0.000 1
Ti1 0.500 0.500 0.500 1
Hg1 0.250 0.250 0.250 1
Hg2 0.750 0.750 0.750 1

Entry 12:
# PBE Sr2CoP, relaxed
# formation energy	-1.8	eV/f.u.
# D(E_F)	2.3	states/eV per cell
# calculated volume	25.53	Å³/atom
# total magnetization	0.34	μB per formula unit
# calculated total energy	-4.422	eV per atom
data_Sr2CoP
_chemical_formula_sum 'Sr2 Co1 P1'
_space_group_name_H-M_alt 'P 1'
_space_group_IT_number 1
_cell_length_a 4.194
_cell_length_b 5.718
_cell_length_c 5.718
_cell_angle_alpha 48.14
_cell_angle_beta 90.00
_cell_angle_gamma 90.00
loop_
_space_group_symop_operation_xyz
'x,y,z'
loop_
_atom_site_label
_atom_site_fract_x
_atom_site_fract_y
_atom_site_fract_z
_atom_site_occupancy
Sr1 0.000 0.000 0.000 1
Sr2 0.500 0.291 0.291 1
Co1 0.500 0.616 0.616 1
P1 0.000 0.687 0.687 1